1.
This record from Alexandria via LeMat-Bulk describes an optimized crystal structure of TaCrOs2. The functional is PBE.

Lattice parameters (Å, degrees): 2.7466 4.1937 5.3263 90.00 104.92 90.00
Space group P2/m (No. 10)
Inequivalent atoms, fractional coordinates:
Ta 0.0000 0.0000 0.0000 (multiplicity 1)
Cr 0.5000 0.0000 0.5000 (multiplicity 1)
Os 0.3419 0.5000 0.7271 (multiplicity 2)

Calculated values
- Total magnetization: 0.001 μB per formula unit
- ΔE_f: 0.0661 eV/atom

=====

2.
This record from Alexandria via LeMat-Bulk describes an optimized crystal structure of CeMgCdRh. The functional is PBE.

Lattice parameters (Å, degrees): 3.2576 3.2576 7.8929 90.00 90.00 90.00
Space group P4mm (No. 99)
Inequivalent atoms, fractional coordinates:
Ce 0.0000 0.0000 0.0000 (multiplicity 1)
Mg 0.0000 0.0000 0.4202 (multiplicity 1)
Cd 0.5000 0.5000 0.6775 (multiplicity 1)
Rh 0.5000 0.5000 0.2253 (multiplicity 1)

Calculated values
- Total magnetization: 0.392 μB per formula unit
- ΔE_f: -0.4141 eV/atom

=====

3.
This record from Alexandria via LeMat-Bulk describes an optimized crystal structure of RuSF3. The functional is PBE.

Lattice parameters (Å, degrees): 4.2871 4.2871 4.2871 90.00 90.00 90.00
Space group Pm-3m (No. 221)
Inequivalent atoms, fractional coordinates:
Ru 0.0000 0.0000 0.0000 (multiplicity 1)
S 0.5000 0.5000 0.5000 (multiplicity 1)
F 0.0000 0.5000 0.5000 (multiplicity 3)

Calculated values
- Total magnetization: 3.168 μB per formula unit
- Formation energy without anion corrections: 0.209 eV/atom

=====

4.
This record from Alexandria via LeMat-Bulk describes an optimized crystal structure of Co2Ru. The functional is PBE.

Lattice parameters (Å, degrees): 2.6075 13.2656 4.0694 90.00 90.00 90.00
Space group Cmcm (No. 63)
Inequivalent atoms, fractional coordinates:
Co 0.0000 0.0549 0.2500 (multiplicity 4)
Co 0.0000 0.2767 0.7500 (multiplicity 4)
Ru 0.0000 0.3896 0.2500 (multiplicity 4)

Calculated values
- Total magnetization: 1.655 μB per formula unit
- ΔE_f: 0.1335 eV/atom

=====

5.
This record from Alexandria via LeMat-Bulk describes an optimized crystal structure of VCrPd5. The functional is PBE.

Lattice parameters (Å, degrees): 9.3300 5.3660 9.2854 90.00 105.65 90.00
Space group C2/c (No. 15)
Inequivalent atoms, fractional coordinates:
V 0.0000 0.0072 0.2500 (multiplicity 4)
Cr 0.2500 0.2500 0.5000 (multiplicity 4)
Pd 0.0000 0.4415 0.2500 (multiplicity 4)
Pd 0.0336 0.2430 0.9828 (multiplicity 8)
Pd 0.2298 0.2350 0.7842 (multiplicity 8)

Calculated values
- Total magnetization: 3.400 μB per formula unit
- ΔE_f: 0.0223 eV/atom

=====

6.
This record from Alexandria via LeMat-Bulk describes an optimized crystal structure of LaCu3Si. The functional is PBE.

Lattice parameters (Å, degrees): 4.5415 4.5415 4.5415 90.00 90.00 90.00
Space group Pm-3m (No. 221)
Inequivalent atoms, fractional coordinates:
La 0.0000 0.0000 0.0000 (multiplicity 1)
Cu 0.0000 0.5000 0.5000 (multiplicity 3)
Si 0.5000 0.5000 0.5000 (multiplicity 1)

Calculated values
- Total magnetization: 0.000 μB per formula unit
- Formation energy without anion corrections: -0.067 eV/atom